VPCS2: optimized geometry, PBE.

Energy above the most stable polymorph in this dataset = 0.319 eV per atom
Crystal system = tetragonal
Magnetization = 1.22 μB per cell
Raw total energy = -5.007 eV per atom
SG = No. 123

Cell lengths 4.451, 4.451, 4.653 Å; angles 90.00, 90.00, 90.00 degrees
Each line ends with the local moment (μB).
Element x y z (fractional)
1 C 0.500 0.500 0.500  0.79
2 P 0.000 0.000 0.500  -0.20
3 S 0.000 0.500 0.000  -0.16
4 V 0.000 0.000 0.000  0.43
5 S 0.500 0.000 0.000  -0.16